(1)
# Na4Tl3Hg2

A geometry-optimized Na4Tl3Hg2 structure (PBE-GGA, Alexandria via LeMat-Bulk).

a = 4.9676 Å, b = 5.5621 Å, c = 10.1158 Å
α = 80.41°, β = 90.00°, γ = 63.47°
Last column: nearest neighbours and their distance in Å.
Fractional coordinates of all 9 atoms:
Na 0.6668 0.6665 0.8838  4 Hg 3.21-3.27, 4 Tl 3.31-3.42, 2 Na 3.51
Na 0.0043 0.9915 0.3279  6 Tl 3.31-3.50, 3 Hg 3.32-3.36, 3 Na 3.50-3.51
Na 0.9957 0.0085 0.6721  6 Tl 3.31-3.50, 3 Hg 3.32-3.36, 3 Na 3.50-3.51
Na 0.3332 0.3335 0.1162  4 Hg 3.21-3.27, 4 Tl 3.31-3.42, 2 Na 3.51
Tl 0.6648 0.6704 0.5450  3 Tl 3.23-3.24, 6 Na 3.31-3.50, 1 Hg 3.43
Tl 0.0000 0.0000 0.0000  8 Na 3.31-3.32, 4 Hg 3.46
Tl 0.3352 0.3296 0.4550  3 Tl 3.23-3.24, 6 Na 3.31-3.50, 1 Hg 3.43
Hg 0.3332 0.3336 0.7939  7 Na 3.21-3.36, 3 Tl 3.43-3.46
Hg 0.6668 0.6664 0.2061  7 Na 3.21-3.36, 3 Tl 3.43-3.46

Calculated values
Calculated formation energy   -0.15 eV/atom
Density   7.48 g cm⁻³
Space group   No. 12
M_tot   0.00 μB/cell

(2)
# MgZrSb3

A geometry-optimized MgZrSb3 structure (PBE-GGA, Alexandria via LeMat-Bulk).

a = 5.2599 Å, b = 5.2599 Å, c = 5.2599 Å
α = 90.00°, β = 90.00°, γ = 90.00°
Last column: nearest neighbours and their distance in Å.
Fractional coordinates of all 5 atoms:
Sb 0.0000 0.5000 0.0000  2 Mg 2.63
Sb 0.0000 0.0000 0.5000  2 Mg 2.63
Sb 0.5000 0.0000 0.0000  2 Mg 2.63
Mg 0.0000 0.0000 0.0000  6 Sb 2.63
Zr 0.5000 0.5000 0.5000  12 Sb 3.72

Calculated values
Density   5.49 g cm⁻³
Space group   No. 221
M_tot   0.00 μB/cell
Energy relative to the elements, uncorrected   0.686 eV/atom

(3)
# U2Al3Ge3

A geometry-optimized U2Al3Ge3 structure (PBE-GGA, Alexandria via LeMat-Bulk).

a = 4.3402 Å, b = 4.2371 Å, c = 8.1568 Å
α = 90.00°, β = 90.00°, γ = 90.00°
Last column: nearest neighbours and their distance in Å.
Fractional coordinates of all 8 atoms:
Al 0.5000 0.5000 0.7551  2 Al 2.91, 6 Ge 2.95-3.01, 4 U 3.03
Al 0.5000 0.0000 0.0000  4 Al 2.91, 4 U 3.01, 4 Ge 3.03
Al 0.5000 0.5000 0.2449  2 Al 2.91, 6 Ge 2.95-3.01, 4 U 3.03
Ge 0.5000 0.0000 0.5000  4 U 2.94, 4 Al 2.97, 4 Ge 3.03
Ge 0.0000 0.5000 0.5000  4 U 2.90, 4 Al 3.01, 4 Ge 3.03
Ge 0.0000 0.5000 0.0000  8 Al 2.95-3.03, 4 U 2.98
U 0.0000 0.0000 0.2566  6 Ge 2.90-2.98, 6 Al 3.01-3.03
U 0.0000 0.0000 0.7434  6 Ge 2.90-2.98, 6 Al 3.01-3.03

Calculated values
Calculated formation energy   -0.26 eV/atom
Density   8.58 g cm⁻³
Space group   No. 47
M_tot   2.21 μB/cell

Which value of M_tot does entry 3 give?
2.21 μB/cell

Which of these has the highest density?
U2Al3Ge3

Number 3 is which compound?
U2Al3Ge3